The following is a DFT calculation (GGA-PBE) of a relaxed structure of Sn2O3. Values from VASP.

Calculated values
* ΔE_f (raw): -1.24 eV/atom
* total magnetization: 0.0 Bohr magnetons per cell

Geometry as Quantum ESPRESSO input:
```
&SYSTEM
  ibrav = 0, nat = 20, ntyp = 2
/
ATOMIC_SPECIES
Sn 118.71 Sn.upf
O 16.00 O.upf
CELL_PARAMETERS angstrom
-1.656 4.860 1.518
-1.012 -4.093 -3.300
-12.445 -8.873 14.822
ATOMIC_POSITIONS angstrom
Sn -11.981 -3.088 13.563
Sn -5.195 -6.489 1.934
O -10.367 -10.446 7.978
O -7.091 -1.488 6.926
O -13.007 -10.172 12.051
Sn -1.733 -1.194 -0.972
O 0.000 0.000 0.000
O -6.222 -4.436 7.411
O -2.106 2.066 0.989
O -4.746 2.340 5.062
O -12.273 -6.882 12.367
O -5.978 -3.460 4.410
Sn -8.132 -3.171 7.762
Sn -9.918 -1.617 11.106
Sn -13.380 -6.912 14.012
Sn -3.132 -5.018 -0.523
Sn -6.981 -4.935 5.278
O -9.136 -4.646 8.630
O -2.840 -1.223 0.673
O -8.023 -6.618 6.114
```